(1)
TiTlCuHg2 | PBE-GGA | relaxed Values from VASP.

N(E_F) in states/eV/cell: 4.77
ΔE_f in eV per atom: 0.59
Theoretical density in g/cm³: 8.2

Cell and atoms, written as Quantum ESPRESSO input:
```
&SYSTEM
  ibrav = 0, nat = 5, ntyp = 4
/
ATOMIC_SPECIES
Ti 47.87 Ti.upf
Tl 204.38 Tl.upf
Cu 63.55 Cu.upf
Hg 200.59 Hg.upf
CELL_PARAMETERS angstrom
5.483 0.000 0.000
0.000 5.483 0.000
0.000 0.000 4.836
ATOMIC_POSITIONS angstrom
Ti 0.000 0.000 0.000
Tl 2.742 2.742 2.418
Cu 0.000 0.000 2.418
Hg 0.000 2.742 0.000
Hg 2.742 0.000 0.000
```

---

(2)
CuMo2Os | PBE-GGA | relaxed Values from VASP.

N(E_F) in states/eV/cell: 4.80
ΔE_f in eV per atom: 0.27
Theoretical density in g/cm³: 12.6

Cell and atoms, written as Quantum ESPRESSO input:
```
&SYSTEM
  ibrav = 0, nat = 4, ntyp = 3
/
ATOMIC_SPECIES
Cu 63.55 Cu.upf
Mo 95.94 Mo.upf
Os 190.23 Os.upf
CELL_PARAMETERS angstrom
3.212 0.000 0.000
0.000 3.212 0.000
0.000 0.000 5.676
ATOMIC_POSITIONS angstrom
Cu 0.000 0.000 0.000
Mo 0.000 0.000 2.866
Mo 1.606 1.606 1.334
Os 1.606 1.606 4.345
```

---

(3)
YTcTe2 | PBE-GGA | relaxed Values from VASP.

N(E_F) in states/eV/cell: 3.61
Theoretical density in g/cm³: 8.2
ΔE_f (raw) in eV per atom: -0.308

Cell and atoms, written as Quantum ESPRESSO input:
```
&SYSTEM
  ibrav = 0, nat = 4, ntyp = 3
/
ATOMIC_SPECIES
Y 88.91 Y.upf
Tc 98.00 Tc.upf
Te 127.60 Te.upf
CELL_PARAMETERS angstrom
5.002 0.000 0.000
0.000 5.002 0.000
0.000 0.000 3.578
ATOMIC_POSITIONS angstrom
Y 0.000 0.000 0.000
Tc 2.501 2.501 0.000
Te 0.000 2.501 1.789
Te 2.501 0.000 1.789
```

---

(4)
YW2BrCl | PBE-GGA | relaxed Values from VASP.

N(E_F) in states/eV/cell: 6.44
Theoretical density in g/cm³: 5.8
ΔE_f (raw) in eV per atom: 1.960

Cell and atoms, written as Quantum ESPRESSO input:
```
&SYSTEM
  ibrav = 0, nat = 5, ntyp = 4
/
ATOMIC_SPECIES
Y 88.91 Y.upf
W 183.84 W.upf
Br 79.90 Br.upf
Cl 35.45 Cl.upf
CELL_PARAMETERS angstrom
5.650 0.000 0.000
0.000 5.650 0.000
0.000 0.000 5.121
ATOMIC_POSITIONS angstrom
Y 0.000 0.000 0.000
W 0.000 2.825 0.000
W 2.825 0.000 0.000
Br 2.825 2.825 2.561
Cl 0.000 0.000 2.561
```

---

(5)
YNbTc | PBE-GGA | relaxed Values from VASP.

N(E_F) in states/eV/cell: 24.56
ΔE_f in eV per atom: -0.02
Theoretical density in g/cm³: 7.6

Cell and atoms, written as Quantum ESPRESSO input:
```
&SYSTEM
  ibrav = 0, nat = 18, ntyp = 3
/
ATOMIC_SPECIES
Y 88.91 Y.upf
Nb 92.91 Nb.upf
Tc 98.00 Tc.upf
CELL_PARAMETERS angstrom
2.825 1.631 13.285
-2.825 1.631 13.285
0.000 -3.262 13.285
ATOMIC_POSITIONS angstrom
Y 0.000 0.000 1.543
Y 0.000 0.000 7.196
Y 0.000 0.000 10.708
Y 0.000 0.000 29.145
Y 0.000 0.000 32.658
Y 0.000 0.000 38.311
Nb -1.413 -0.816 22.192
Nb 0.000 -1.632 17.662
Nb -1.413 0.816 17.662
Nb 1.413 -0.816 22.192
Nb 0.000 1.632 22.192
Nb 1.413 0.816 17.662
Tc -1.413 -0.816 13.285
Tc 0.000 0.000 15.380
Tc -1.413 0.816 26.569
Tc 0.000 1.631 13.285
Tc 0.000 0.000 19.927
Tc 0.000 0.000 24.474
```

---

(6)
FeRe2Cl | PBE-GGA | relaxed Values from VASP.

N(E_F) in states/eV/cell: 3.33
Theoretical density in g/cm³: 13.5
ΔE_f (raw) in eV per atom: 0.558

Cell and atoms, written as Quantum ESPRESSO input:
```
&SYSTEM
  ibrav = 0, nat = 4, ntyp = 3
/
ATOMIC_SPECIES
Fe 55.84 Fe.upf
Re 186.21 Re.upf
Cl 35.45 Cl.upf
CELL_PARAMETERS angstrom
1.405 0.811 8.316
-1.405 0.811 8.316
0.000 -1.622 8.316
ATOMIC_POSITIONS angstrom
Fe 0.000 0.000 0.000
Re 0.000 0.000 6.310
Re 0.000 0.000 18.640
Cl 0.000 0.000 12.475
```

---

(7)
LiLa2Si3Pd4 | PBE-GGA | relaxed Values from VASP.

N(E_F) in states/eV/cell: 6.65
Theoretical density in g/cm³: 7.1
ΔE_f (raw) in eV per atom: -0.881

Cell and atoms, written as Quantum ESPRESSO input:
```
&SYSTEM
  ibrav = 0, nat = 10, ntyp = 4
/
ATOMIC_SPECIES
Li 6.94 Li.upf
La 138.91 La.upf
Si 28.09 Si.upf
Pd 106.42 Pd.upf
CELL_PARAMETERS angstrom
4.298 0.000 0.000
0.000 4.298 0.000
0.000 0.000 10.040
ATOMIC_POSITIONS angstrom
Li 0.000 0.000 0.000
La 0.000 2.149 7.563
La 2.149 0.000 2.477
Si 0.000 2.149 3.735
Si 2.149 0.000 6.305
Si 2.149 2.149 0.000
Pd 0.000 0.000 5.020
Pd 0.000 2.149 1.282
Pd 2.149 0.000 8.757
Pd 2.149 2.149 5.020
```

---

(8)
CsCd3Au | PBE-GGA | relaxed Values from VASP.

N(E_F) in states/eV/cell: 0.00
ΔE_f in eV per atom: 0.69
Theoretical density in g/cm³: 3.0

Cell and atoms, written as Quantum ESPRESSO input:
```
&SYSTEM
  ibrav = 0, nat = 5, ntyp = 3
/
ATOMIC_SPECIES
Cs 132.91 Cs.upf
Cd 112.41 Cd.upf
Au 196.97 Au.upf
CELL_PARAMETERS angstrom
7.176 0.000 0.000
0.000 7.176 0.000
0.000 0.000 7.176
ATOMIC_POSITIONS angstrom
Cs 0.000 0.000 0.000
Cd 0.000 0.000 3.588
Cd 0.000 3.588 0.000
Cd 3.588 0.000 0.000
Au 3.588 3.588 3.588
```

---

(9)
Na3AlBi3Se8 | PBE-GGA | relaxed Values from VASP.

N(E_F) in states/eV/cell: 7.19
Theoretical density in g/cm³: 5.3
ΔE_f (raw) in eV per atom: -0.682

Cell and atoms, written as Quantum ESPRESSO input:
```
&SYSTEM
  ibrav = 0, nat = 15, ntyp = 4
/
ATOMIC_SPECIES
Na 22.99 Na.upf
Al 26.98 Al.upf
Bi 208.98 Bi.upf
Se 78.96 Se.upf
CELL_PARAMETERS angstrom
7.092 -4.085 0.000
7.092 4.085 0.000
-4.733 0.000 7.301
ATOMIC_POSITIONS angstrom
Na 0.000 0.000 0.000
Na 3.546 2.043 0.000
Na 3.546 -2.043 0.000
Al -2.366 0.000 3.650
Bi 1.180 2.043 3.650
Bi 1.180 -2.043 3.650
Bi 4.726 0.000 3.650
Se -0.272 0.000 5.209
Se 3.679 2.277 5.206
Se 5.772 2.277 2.095
Se 2.363 0.000 1.905
Se 7.088 0.000 5.396
Se 3.679 -2.277 5.206
Se 5.772 -2.277 2.095
Se 9.724 0.000 2.092
```

---

(10)
Er2AlCu12Ni3 | PBE-GGA | relaxed Values from VASP.

N(E_F) in states/eV/cell: 7.36
ΔE_f in eV per atom: -0.03
Theoretical density in g/cm³: 8.6

Cell and atoms, written as Quantum ESPRESSO input:
```
&SYSTEM
  ibrav = 0, nat = 18, ntyp = 4
/
ATOMIC_SPECIES
Er 167.26 Er.upf
Al 26.98 Al.upf
Cu 63.55 Cu.upf
Ni 58.69 Ni.upf
CELL_PARAMETERS angstrom
4.204 2.427 4.090
-4.204 2.427 4.090
0.000 -4.855 4.090
ATOMIC_POSITIONS angstrom
Er 0.000 0.000 2.983
Er 0.000 0.000 9.288
Al 0.000 0.000 6.135
Cu 0.000 -2.772 3.276
Cu -2.400 1.386 3.276
Cu -2.008 -1.159 6.631
Cu 0.000 -2.319 5.639
Cu -2.008 1.160 5.639
Cu -2.400 -1.386 8.994
Cu 2.400 1.386 3.276
Cu 2.008 -1.159 6.631
Cu 0.000 2.319 6.631
Cu 2.008 1.159 5.639
Cu 2.400 -1.386 8.994
Cu 0.000 2.772 8.994
Ni -2.102 -1.214 4.090
Ni -2.102 1.214 8.180
Ni 0.000 2.427 4.090
```

---

(11)
ScSb2IrC | PBE-GGA | relaxed Values from VASP.

N(E_F) in states/eV/cell: 4.20
Theoretical density in g/cm³: 6.4
ΔE_f (raw) in eV per atom: 1.312

Cell and atoms, written as Quantum ESPRESSO input:
```
&SYSTEM
  ibrav = 0, nat = 5, ntyp = 4
/
ATOMIC_SPECIES
Sc 44.96 Sc.upf
Sb 121.76 Sb.upf
Ir 192.22 Ir.upf
C 12.01 C.upf
CELL_PARAMETERS angstrom
5.026 0.000 0.000
0.000 5.026 0.000
0.000 0.000 5.054
ATOMIC_POSITIONS angstrom
Sc 0.000 0.000 0.000
Sb 0.000 2.513 2.527
Sb 2.513 0.000 2.527
Ir 0.000 0.000 2.527
C 2.513 2.513 0.000
```

---

(12)
Y2ZnCr | PBE-GGA | relaxed Values from VASP.

N(E_F) in states/eV/cell: 3.69
ΔE_f in eV per atom: 0.28
Theoretical density in g/cm³: 5.0

Cell and atoms, written as Quantum ESPRESSO input:
```
&SYSTEM
  ibrav = 0, nat = 4, ntyp = 3
/
ATOMIC_SPECIES
Y 88.91 Y.upf
Zn 65.41 Zn.upf
Cr 52.00 Cr.upf
CELL_PARAMETERS angstrom
4.687 -1.750 0.000
4.687 1.750 0.000
-1.280 0.000 5.990
ATOMIC_POSITIONS angstrom
Y 1.986 0.000 1.482
Y 6.107 0.000 4.508
Zn 4.687 0.000 0.000
Cr -0.640 0.000 2.995
```